## A
SiPb2Se4 (PBE, relaxed); SG = No. 11
1.0
7.0928 0.0000 0.0070
0.0000 6.8938 0.0000
-2.6017 0.0000 8.2041
Si Pb Se
2 4 8
Cartesian
1.4928 5.1704 1.6914
2.9983 1.7235 6.5197
5.2891 5.1704 0.5098
-0.7979 1.7235 7.7012
0.7875 1.7235 3.6270
3.7036 5.1704 4.5840
2.8748 3.4117 2.1978
-1.6141 5.1704 7.6628
6.1052 1.7235 0.5483
2.8748 0.0352 2.1978
4.8422 1.7235 5.1719
1.6163 6.8586 6.0132
1.6163 3.4822 6.0132
-0.3511 5.1704 3.0391

## B
SiPb2Se4 (PBE, relaxed); Fermi-level density of states = 0.000 states/eV/cell; SG = No. 14
1.0
-0.3677 5.6459 4.7215
-8.6291 -1.2112 0.7763
-2.3657 -8.9305 10.4946
Pb Se Si
8 16 4
Cartesian
-4.5372 -1.1432 10.8668
-3.7720 -6.0076 10.9924
-6.8253 -3.3527 5.1257
-7.5904 1.5117 5.0001
-8.7779 -1.8280 11.3948
-8.1629 -6.4953 11.2731
-2.5846 -2.6679 4.5977
-3.1995 1.9994 4.7194
-10.5289 -4.8255 10.9726
-6.1645 -7.2974 8.5177
-0.8336 0.3296 5.0199
-5.1980 2.8015 7.4748
-6.4117 -4.2512 10.5490
-10.2780 -7.9283 8.8941
-4.9508 -0.2447 5.4435
-1.0845 3.4324 7.0984
-8.3688 -5.3003 13.9767
-8.4696 -4.5958 7.3758
-2.9937 0.8044 2.0158
-2.8928 0.0999 8.6167
-3.5477 -4.4308 13.4752
-4.6720 -4.0944 7.2346
-7.8148 -0.0651 2.5173
-6.6904 -0.4015 8.7579
-10.4262 -4.5390 13.2544
-6.4344 -5.0153 8.3840
-0.9363 0.0431 2.7381
-4.9280 0.5194 7.6085

## C
SiPb2Se4 (PBE, relaxed); SG = No. 8
1.0
-3.5369 -2.1455 -6.0854
6.2309 0.6224 -3.8642
-0.5051 -2.9595 5.7724
Si Pb Se
1 2 4
Cartesian
0.1283 -0.5333 0.1164
-1.6665 -1.6002 -2.9169
3.2260 -0.2212 -1.8381
0.9013 -2.1012 -1.3966
3.8008 -2.0613 1.3447
-0.0677 -1.5534 2.1817
-2.4474 -3.8550 -0.0726

Most stable: B. Least stable: C.

## A
SiPb2Se2 (PBE, relaxed); Fermi-level density of states = 1.630 states/eV/cell; SG = No. 139
1.0
5.0797 0.0000 0.0000
0.0000 5.0797 0.0000
2.5399 2.5399 6.1932
Pb Si Se
2 1 2
Cartesian
5.0797 2.5399 3.0966
2.5399 5.0797 3.0966
0.0000 0.0000 0.0000
2.5399 2.5399 1.5189
5.0798 5.0798 4.6742

## B
SiPb2Se2 (PBE, relaxed); Fermi-level density of states = 1.004 states/eV/cell; SG = No. 127
1.0
7.6496 0.0000 0.0000
0.0000 7.6496 0.0000
0.0000 0.0000 4.5546
Pb Si Se
4 2 4
Cartesian
1.2377 5.0625 2.2773
5.0625 6.4119 2.2773
6.4119 2.5871 2.2773
2.5871 1.2377 2.2773
0.0000 0.0000 0.0000
3.8248 3.8248 0.0000
2.5328 6.3576 0.0000
6.3576 5.1168 0.0000
5.1168 1.2920 0.0000
1.2920 2.5328 0.0000

Most stable: B. Least stable: A.

## A
SnPb2Se (PBE, relaxed); Fermi-level density of states = 2.862 states/eV/cell; SG = No. 225
1.0
-3.1518 -3.2737 2.9433
-4.4851 1.9382 2.3327
-4.8688 -1.4637 -1.8619
Pb Sn Se
2 1 1
Cartesian
-3.1264 -0.6998 0.8535
-9.3793 -2.0994 2.5606
-6.2529 -1.3996 1.7071
0.0000 0.0000 0.0000

## B
SnPb2Se (PBE, relaxed); Fermi-level density of states = 2.500 states/eV/cell; SG = No. 160
1.0
3.9788 0.0000 0.0000
1.9894 3.4458 0.0000
1.9894 1.1486 8.8716
Sn Pb Se
1 2 1
Cartesian
3.9788 2.2972 4.4140
1.9894 1.1486 6.9072
1.9894 1.1486 2.0404
5.9682 3.4457 8.8173

Most stable: B. Least stable: A.

## A
SnPb2Se (PBE, relaxed); Fermi-level density of states = 2.185 states/eV/cell; SG = No. 123
1.0
-1.0670 -2.1387 2.7668
2.5678 -2.4429 -0.8981
5.5092 3.9012 5.1402
Pb Sn Se
2 1 1
Cartesian
4.2946 3.0411 4.0070
1.2146 0.8601 1.1333
3.5050 -0.3402 3.5045
0.7504 -2.2908 0.9344

## B
SnPb2Se (PBE, relaxed); Fermi-level density of states = 6.670 states/eV/cell; SG = No. 122
1.0
6.5862 0.0000 0.0000
0.0000 6.5862 0.0000
3.2931 3.2931 7.4679
Pb Sn Se
4 2 2
Cartesian
4.8592 1.6466 1.8670
1.7271 4.9397 1.8670
4.9397 5.0202 5.6009
8.2328 8.1523 5.6009
0.0000 0.0000 0.0000
6.5862 3.2931 3.7340
3.2931 3.2931 0.0000
3.2931 6.5862 3.7340

Most stable: A. Least stable: B.